A geometry-optimized RbAs2W structure, computed with GGA-PBE.

a b c (Å): 3.4446 3.4446 29.9450
angles (deg): 90.00 90.00 120.00
Last column: nearest neighbours and their distance in Å.
Space group R-3m (No. 166, hexagonal axes)
Symmetry-distinct sites (fractional):
Rb1 0.0000 0.0000 0.0000 (multiplicity 3)  2 As 3.32, 6 Rb 3.44
As1 0.0000 0.0000 0.1109 (multiplicity 6)  3 W 2.60
W1 0.0000 0.0000 0.5000 (multiplicity 3)  6 As 2.60

Calculated values
Uncorrected energy (eV/cell): -67.44
Formation energy from the elements (kJ/mol of formula units): 71
Density of states at the Fermi level (states/eV/cell): 6.37

***

A geometry-optimized Rb6As4W structure, computed with GGA-PBE.

a b c (Å): 10.6856 10.6856 8.5940
angles (deg): 90.00 90.00 120.00
Last column: nearest neighbours and their distance in Å.
Space group P6_3mc (No. 186)
Symmetry-distinct sites (fractional):
Rb1 0.0657 0.5328 0.0000 (multiplicity 6)  5 As 3.54-3.74, 1 W 3.81, 2 Rb 3.91
Rb2 0.1457 0.2914 0.3188 (multiplicity 6)  4 As 3.46-3.58
As1 0.2080 0.4160 0.6979 (multiplicity 6)  1 W 2.45
As2 0.3333 0.6667 0.3253 (multiplicity 2)  1 W 2.42
W1 0.3333 0.6667 0.6073 (multiplicity 2)  4 As 2.42-2.45

Calculated values
Uncorrected energy (eV/cell): -83.16
Formation energy from the elements (kJ/mol of formula units): -408